# PBE Cd12In3As5, optimized geometry
# total DFT energy (no corrections)	-2.0954	eV per atom
# ΔH_f (0 K)	0.027	eV/atom
data_Cd12In3As5
_chemical_formula_sum 'Cd96 In24 As40'
_cell_length_a 16.378
_cell_length_b 16.378
_cell_length_c 16.378
_cell_angle_alpha 90.00
_cell_angle_beta 90.00
_cell_angle_gamma 90.00
_symmetry_space_group_name_H-M 'I a -3 d'
_symmetry_Int_Tables_number 230
_symmetry_space_group_name_Hall '-I 4bd 2c 3'
loop_
_atom_site_label
_atom_site_type_symbol
_atom_site_fract_x
_atom_site_fract_y
_atom_site_fract_z
Cd1 Cd 0.030 0.077 0.646
In1 In 0.000 0.250 0.125
As1 As 0.000 0.000 0.000
As2 As 0.000 0.250 0.375